# 1
Compound: NaZnGe2
Source: the Alexandria database
Functional: GGA-PBE
Structure: relaxed

Results
* DFT total energy: -2.886 eV per atom
* space group: R-3m, No. 166
* DOS(E_F): 0.263 states/eV per atom

a = 6.3964 Å, b = 6.3964 Å, c = 6.3964 Å
α = 38.14°, β = 38.14°, γ = 38.14°
With the nearest neighbours (Å) after each atom.
Positions (direct):
1 Na 0.0000 0.0000 0.0000  6 Ge 3.15
2 Zn 0.5000 0.5000 0.5000  6 Ge 2.59
3 Ge 0.2195 0.2195 0.2195  3 Zn 2.59
4 Ge 0.7805 0.7805 0.7805  3 Zn 2.59

=====

# 2
Compound: NaZn4Ge
Source: the Alexandria database
Functional: GGA-PBE
Structure: relaxed

Results
* DFT total energy: -1.824 eV per atom
* space group: Cmcm, No. 63
* distance to the lowest polymorph of the same formula: 0 meV per atom
* DOS(E_F): 0.248 states/eV per atom

a = 8.0618 Å, b = 8.0618 Å, c = 6.9390 Å
α = 90.00°, β = 90.00°, γ = 151.10°
With the nearest neighbours (Å) after each atom.
Positions (direct):
1 Na 0.1162 0.8838 0.7500  9 Zn 2.91-3.22, 2 Ge 3.01
2 Na 0.8838 0.1162 0.2500  9 Zn 2.91-3.22, 2 Ge 3.01
3 Zn 0.0701 0.9299 0.2500  1 Ge 2.66, 8 Zn 2.85-2.87, 1 Na 2.91
4 Zn 0.3328 0.6672 0.5591  3 Ge 2.58-2.67, 4 Zn 2.64-2.85
5 Zn 0.3328 0.6672 0.9409  3 Ge 2.58-2.67, 4 Zn 2.64-2.85
6 Zn 0.5000 0.5000 0.0000  6 Zn 2.64-2.87
7 Zn 0.5000 0.5000 0.5000  6 Zn 2.64-2.87
8 Zn 0.6672 0.3328 0.0591  3 Ge 2.58-2.67, 4 Zn 2.64-2.85
9 Zn 0.6672 0.3328 0.4409  3 Ge 2.58-2.67, 4 Zn 2.64-2.85
10 Zn 0.9299 0.0701 0.7500  1 Ge 2.66, 8 Zn 2.85-2.87, 1 Na 2.91
11 Ge 0.2408 0.7592 0.2500  7 Zn 2.58-2.67
12 Ge 0.7592 0.2408 0.7500  7 Zn 2.58-2.67

=====

# 3
Compound: Na6ZnGe2
Source: the Alexandria database
Functional: GGA-PBE
Structure: relaxed

Results
* DFT total energy: -2.136 eV per atom
* space group: R-3m, No. 166
* DOS(E_F): 0.300 states/eV per atom

a = 9.9167 Å, b = 9.9167 Å, c = 9.9167 Å
α = 31.01°, β = 31.01°, γ = 31.01°
With the nearest neighbours (Å) after each atom.
Positions (direct):
1 Na 0.0771 0.0771 0.0771  3 Ge 3.06, 3 Na 3.40
2 Na 0.2013 0.2013 0.2013  1 Na 3.05, 3 Zn 3.21, 3 Ge 3.38
3 Na 0.3089 0.3089 0.3089  1 Ge 2.99, 1 Na 3.05
4 Na 0.6911 0.6911 0.6911  1 Ge 2.99, 1 Na 3.05
5 Na 0.7987 0.7987 0.7987  1 Na 3.05, 3 Zn 3.21, 3 Ge 3.38
6 Na 0.9229 0.9229 0.9229  3 Ge 3.06, 3 Na 3.40
7 Zn 0.5000 0.5000 0.5000  2 Ge 2.42
8 Ge 0.4145 0.4145 0.4145  1 Zn 2.42
9 Ge 0.5855 0.5855 0.5855  1 Zn 2.42

=====

Number 1: ΔH_f (0 K) 0.071 eV/atom. Number 2: ΔH_f (0 K) 0.015 eV/atom. Number 3: ΔH_f (0 K) -0.089 eV/atom.